The following is a DFT calculation (PBE-GGA) of a geometry-optimized FeBPH2 structure. Values from VASP.

Computed properties:
Size of the total moment   0.36 μB/cell
E   -4.9524 eV per atom
DOS(E_F)   0.290 states/eV per atom
Volume   8.6 A^3/atom

Structure (Quantum ESPRESSO input):
```
&SYSTEM
  ibrav = 0, nat = 5, ntyp = 4
/
ATOMIC_SPECIES
Fe 55.84 Fe.upf
B 10.81 B.upf
P 30.97 P.upf
H 1.01 H.upf
CELL_PARAMETERS angstrom
2.996 0.000 0.000
0.000 2.996 0.000
0.000 0.000 4.788
ATOMIC_POSITIONS angstrom
Fe 0.000 0.000 0.000
B 1.498 1.498 0.000
P 0.000 0.000 2.394
H 0.000 1.498 2.394
H 1.498 0.000 2.394
```